# MgCr2Cl PBE relaxed
data_MgCr2Cl
_cell_length_a 7.5289
_cell_length_b 7.5289
_cell_length_c 6.0088
_cell_angle_alpha 90.00
_cell_angle_beta 90.00
_cell_angle_gamma 90.00
_symmetry_space_group_name_H-M 'I -4 2 d'
_symmetry_Int_Tables_number 122
_symmetry_space_group_name_Hall 'I -4 2bw'
loop_
_atom_site_label
_atom_site_fract_x
_atom_site_fract_y
_atom_site_fract_z
Mg1 0.0000 0.0000 0.0000
Cr1 0.2052 0.2500 0.6250
Cl1 0.0000 0.0000 0.5000
# E_tot in eV per atom: -5.09
# Polymorph energy (0 for the lowest one) in kJ/mol of atoms: 57.2
# Volume in Å³/cell: 340.6
# Formation energy (no corrections) in eV per atom: 0.578